1.
# Rb3AlCo PBE optimized geometry
# Distance to the lowest polymorph of the same formula ... 0 meV/atom
# Size of the total moment ... 2.61 Bohr magnetons per cell
# ΔE_f ... 24.22 kcal/mol of atoms
# Crystal system ... cubic
# Volume ... 60.14 Å³/atom
data_Rb3AlCo
_chemical_formula_sum 'Rb3 Al1 Co1'
_cell_length_a 6.6997
_cell_length_b 6.6997
_cell_length_c 6.6997
_cell_angle_alpha 90.00
_cell_angle_beta 90.00
_cell_angle_gamma 90.00
_symmetry_space_group_name_H-M 'P m -3 m'
_symmetry_Int_Tables_number 221
_symmetry_space_group_name_Hall '-P 4 2 3'
loop_
_atom_site_label
_atom_site_fract_x
_atom_site_fract_y
_atom_site_fract_z
Rb1 0.0000 0.0000 0.5000
Al1 0.5000 0.5000 0.5000
Co1 0.0000 0.0000 0.0000

=====

2.
# RbAl3Co PBE optimized geometry
# Distance to the lowest polymorph of the same formula ... 0 meV/atom
# Size of the total moment ... 0.84 Bohr magnetons per cell
# ΔE_f ... 0.74 kcal/mol of atoms
# Crystal system ... cubic
# Volume ... 20.89 Å³/atom
data_RbAl3Co
_chemical_formula_sum 'Rb1 Al3 Co1'
_cell_length_a 4.7094
_cell_length_b 4.7094
_cell_length_c 4.7094
_cell_angle_alpha 90.00
_cell_angle_beta 90.00
_cell_angle_gamma 90.00
_symmetry_space_group_name_H-M 'P m -3 m'
_symmetry_Int_Tables_number 221
_symmetry_space_group_name_Hall '-P 4 2 3'
loop_
_atom_site_label
_atom_site_fract_x
_atom_site_fract_y
_atom_site_fract_z
Rb1 0.0000 0.0000 0.0000
Al1 0.0000 0.5000 0.5000
Co1 0.5000 0.5000 0.5000

=====

3.
# RbAl3Co PBE optimized geometry
# Distance to the lowest polymorph of the same formula ... 2232 meV/atom
# Size of the total moment ... 1.84 Bohr magnetons per cell
# ΔE_f ... 52.21 kcal/mol of atoms
# Crystal system ... cubic
# Volume ... 38.31 Å³/atom
data_RbAl3Co
_chemical_formula_sum 'Rb1 Al3 Co1'
_cell_length_a 5.7644
_cell_length_b 5.7644
_cell_length_c 5.7644
_cell_angle_alpha 90.00
_cell_angle_beta 90.00
_cell_angle_gamma 90.00
_symmetry_space_group_name_H-M 'P m -3 m'
_symmetry_Int_Tables_number 221
_symmetry_space_group_name_Hall '-P 4 2 3'
loop_
_atom_site_label
_atom_site_fract_x
_atom_site_fract_y
_atom_site_fract_z
Rb1 0.0000 0.0000 0.0000
Al1 0.0000 0.0000 0.5000
Co1 0.5000 0.5000 0.5000

=====

4.
# RbY2AlCo PBE optimized geometry
# Size of the total moment ... 0.81 Bohr magnetons per cell
# ΔE_f ... 35.59 kcal/mol of atoms
# Crystal system ... tetragonal
# Volume ... 26.23 Å³/atom
data_RbY2AlCo
_chemical_formula_sum 'Rb1 Y2 Al1 Co1'
_cell_length_a 5.4119
_cell_length_b 5.4119
_cell_length_c 4.4784
_cell_angle_alpha 90.00
_cell_angle_beta 90.00
_cell_angle_gamma 90.00
_symmetry_space_group_name_H-M 'P 4/m m m'
_symmetry_Int_Tables_number 123
_symmetry_space_group_name_Hall '-P 4 2'
loop_
_atom_site_label
_atom_site_fract_x
_atom_site_fract_y
_atom_site_fract_z
Rb1 0.0000 0.0000 0.0000
Y1 0.0000 0.5000 0.0000
Al1 0.5000 0.5000 0.5000
Co1 0.0000 0.0000 0.5000

=====

5.
# Al2CoRe PBE optimized geometry
# Size of the total moment ... 1.60 Bohr magnetons per cell
# ΔE_f ... -2.87 kcal/mol of atoms
# Crystal system ... monoclinic
# Volume ... 13.62 Å³/atom
data_Al2CoRe
_chemical_formula_sum 'Al4 Co2 Re2'
_cell_length_a 5.3971
_cell_length_b 8.1420
_cell_length_c 2.6809
_cell_angle_alpha 90.00
_cell_angle_beta 112.29
_cell_angle_gamma 90.00
_symmetry_space_group_name_H-M 'C 1 2/m 1'
_symmetry_Int_Tables_number 12
loop_
_symmetry_equiv_pos_as_xyz
'x,y,z'
'-x,-y,-z'
'-x,y,-z'
'x,-y,z'
'x+1/2,y+1/2,z'
'-x+1/2,-y+1/2,-z'
'-x+1/2,y+1/2,-z'
'x+1/2,-y+1/2,z'
loop_
_atom_site_label
_atom_site_fract_x
_atom_site_fract_y
_atom_site_fract_z
Al1 0.2500 0.2500 0.0000
Co1 0.0000 0.0000 0.5000
Re1 0.0000 0.5000 0.5000

=====

6.
# AlCo2Re PBE optimized geometry
# Size of the total moment ... 0.01 Bohr magnetons per cell
# ΔE_f ... -3.41 kcal/mol of atoms
# Crystal system ... monoclinic
# Volume ... 12.39 Å³/atom
data_AlCo2Re
_chemical_formula_sum 'Al2 Co4 Re2'
_cell_length_a 8.5962
_cell_length_b 2.6614
_cell_length_c 4.4126
_cell_angle_alpha 90.00
_cell_angle_beta 100.84
_cell_angle_gamma 90.00
_symmetry_space_group_name_H-M 'C 1 m 1'
_symmetry_Int_Tables_number 8
loop_
_symmetry_equiv_pos_as_xyz
'x,y,z'
'x,-y,z'
'x+1/2,y+1/2,z'
'x+1/2,-y+1/2,z'
loop_
_atom_site_label
_atom_site_fract_x
_atom_site_fract_y
_atom_site_fract_z
Al1 0.0000 0.0000 0.0000
Co1 0.0095 0.5000 0.5169
Co2 0.2547 0.0000 0.8257
Re1 0.2644 0.5000 0.3332

=====

7.
# Al3CoRe PBE optimized geometry
# Distance to the lowest polymorph of the same formula ... 0 meV/atom
# Size of the total moment ... 1.47 Bohr magnetons per cell
# ΔE_f ... 14.14 kcal/mol of atoms
# Crystal system ... cubic
# Volume ... 15.98 Å³/atom
data_Al3CoRe
_chemical_formula_sum 'Al3 Co1 Re1'
_cell_length_a 4.3073
_cell_length_b 4.3073
_cell_length_c 4.3073
_cell_angle_alpha 90.00
_cell_angle_beta 90.00
_cell_angle_gamma 90.00
_symmetry_space_group_name_H-M 'P m -3 m'
_symmetry_Int_Tables_number 221
_symmetry_space_group_name_Hall '-P 4 2 3'
loop_
_atom_site_label
_atom_site_fract_x
_atom_site_fract_y
_atom_site_fract_z
Al1 0.0000 0.0000 0.5000
Co1 0.0000 0.0000 0.0000
Re1 0.5000 0.5000 0.5000

=====

8.
# AlCoRe2 PBE optimized geometry
# Size of the total moment ... 0.25 Bohr magnetons per cell
# ΔE_f ... 0.55 kcal/mol of atoms
# Crystal system ... tetragonal
# Volume ... 13.64 Å³/atom
data_AlCoRe2
_chemical_formula_sum 'Al1 Co1 Re2'
_cell_length_a 2.6677
_cell_length_b 2.6677
_cell_length_c 7.6687
_cell_angle_alpha 90.00
_cell_angle_beta 90.00
_cell_angle_gamma 90.00
_symmetry_space_group_name_H-M 'P 4/m m m'
_symmetry_Int_Tables_number 123
_symmetry_space_group_name_Hall '-P 4 2'
loop_
_atom_site_label
_atom_site_fract_x
_atom_site_fract_y
_atom_site_fract_z
Al1 0.0000 0.0000 0.0000
Co1 0.0000 0.0000 0.5000
Re1 0.5000 0.5000 0.2641

=====

9.
# Al2CoRe PBE optimized geometry
# Size of the total moment ... 0.00 Bohr magnetons per cell
# ΔE_f ... -6.17 kcal/mol of atoms
# Crystal system ... tetragonal
# Volume ... 13.25 Å³/atom
data_Al2CoRe
_chemical_formula_sum 'Al2 Co1 Re1'
_cell_length_a 4.2601
_cell_length_b 4.2601
_cell_length_c 2.9201
_cell_angle_alpha 90.00
_cell_angle_beta 90.00
_cell_angle_gamma 90.00
_symmetry_space_group_name_H-M 'P 4/m m m'
_symmetry_Int_Tables_number 123
_symmetry_space_group_name_Hall '-P 4 2'
loop_
_atom_site_label
_atom_site_fract_x
_atom_site_fract_y
_atom_site_fract_z
Al1 0.0000 0.5000 0.0000
Co1 0.0000 0.0000 0.5000
Re1 0.5000 0.5000 0.5000

=====

10.
# AlCo2Re PBE optimized geometry
# Size of the total moment ... 2.98 Bohr magnetons per cell
# ΔE_f ... -1.15 kcal/mol of atoms
# Crystal system ... monoclinic
# Volume ... 12.63 Å³/atom
data_AlCo2Re
_chemical_formula_sum 'Al2 Co4 Re2'
_cell_length_a 8.3836
_cell_length_b 2.6506
_cell_length_c 4.6024
_cell_angle_alpha 90.00
_cell_angle_beta 98.76
_cell_angle_gamma 90.00
_symmetry_space_group_name_H-M 'C 1 2/m 1'
_symmetry_Int_Tables_number 12
loop_
_symmetry_equiv_pos_as_xyz
'x,y,z'
'-x,-y,-z'
'-x,y,-z'
'x,-y,z'
'x+1/2,y+1/2,z'
'-x+1/2,-y+1/2,-z'
'-x+1/2,y+1/2,-z'
'x+1/2,-y+1/2,z'
loop_
_atom_site_label
_atom_site_fract_x
_atom_site_fract_y
_atom_site_fract_z
Al1 0.0000 0.0000 0.0000
Co1 0.2487 0.5000 0.2577
Re1 0.0000 0.5000 0.5000

=====

11.
# AlCo2Re PBE optimized geometry
# Size of the total moment ... 4.22 Bohr magnetons per cell
# ΔE_f ... -1.76 kcal/mol of atoms
# Crystal system ... orthorhombic
# Volume ... 12.51 Å³/atom
data_AlCo2Re
_chemical_formula_sum 'Al2 Co4 Re2'
_cell_length_a 2.7982
_cell_length_b 4.2338
_cell_length_c 8.4484
_cell_angle_alpha 90.00
_cell_angle_beta 90.00
_cell_angle_gamma 90.00
_symmetry_space_group_name_H-M 'I m m 2'
_symmetry_Int_Tables_number 44
loop_
_symmetry_equiv_pos_as_xyz
'x,y,z'
'-x,-y,z'
'-x,y,z'
'x,-y,z'
'x+1/2,y+1/2,z+1/2'
'-x+1/2,-y+1/2,z+1/2'
'-x+1/2,y+1/2,z+1/2'
'x+1/2,-y+1/2,z+1/2'
loop_
_atom_site_label
_atom_site_fract_x
_atom_site_fract_y
_atom_site_fract_z
Al1 0.0000 0.0000 0.0000
Co1 0.0000 0.0000 0.4873
Co2 0.0000 0.5000 0.7375
Re1 0.0000 0.5000 0.2366

=====

12.
# AlCoRe2 PBE optimized geometry
# Size of the total moment ... 1.18 Bohr magnetons per cell
# ΔE_f ... -2.77 kcal/mol of atoms
# Crystal system ... tetragonal
# Volume ... 13.70 Å³/atom
data_AlCoRe2
_chemical_formula_sum 'Al1 Co1 Re2'
_cell_length_a 2.9974
_cell_length_b 2.9974
_cell_length_c 6.1003
_cell_angle_alpha 90.00
_cell_angle_beta 90.00
_cell_angle_gamma 90.00
_symmetry_space_group_name_H-M 'P 4 m m'
_symmetry_Int_Tables_number 99
loop_
_symmetry_equiv_pos_as_xyz
'x,y,z'
'-y,x,z'
'-x,-y,z'
'y,-x,z'
'-x,y,z'
'y,x,z'
'x,-y,z'
'-y,-x,z'
loop_
_atom_site_label
_atom_site_fract_x
_atom_site_fract_y
_atom_site_fract_z
Al1 0.0000 0.0000 0.0000
Co1 0.5000 0.5000 0.2163
Re1 0.0000 0.0000 0.4754
Re2 0.5000 0.5000 0.7246

=====

13.
# AlCo2Re PBE optimized geometry
# Size of the total moment ... 0.00 Bohr magnetons per cell
# ΔE_f ... -4.12 kcal/mol of atoms
# Crystal system ... orthorhombic
# Volume ... 12.37 Å³/atom
data_AlCo2Re
_chemical_formula_sum 'Al2 Co4 Re2'
_cell_length_a 4.0258
_cell_length_b 2.6412
_cell_length_c 9.3051
_cell_angle_alpha 90.00
_cell_angle_beta 90.00
_cell_angle_gamma 90.00
_symmetry_space_group_name_H-M 'A m m 2'
_symmetry_Int_Tables_number 38
loop_
_symmetry_equiv_pos_as_xyz
'x,y,z'
'-x,-y,z'
'-x,y,z'
'x,-y,z'
'x,y+1/2,z+1/2'
'-x,-y+1/2,z+1/2'
'-x,y+1/2,z+1/2'
'x,-y+1/2,z+1/2'
loop_
_atom_site_label
_atom_site_fract_x
_atom_site_fract_y
_atom_site_fract_z
Al1 0.0000 0.0000 0.0000
Co1 0.0000 0.0000 0.7339
Co2 0.5000 0.0000 0.5820
Re1 0.5000 0.0000 0.3269

=====

14.
# AlCo2Re PBE optimized geometry
# Size of the total moment ... 0.00 Bohr magnetons per cell
# ΔE_f ... -3.75 kcal/mol of atoms
# Crystal system ... monoclinic
# Volume ... 12.38 Å³/atom
data_AlCo2Re
_chemical_formula_sum 'Al1 Co2 Re1'
_cell_length_a 2.6668
_cell_length_b 3.5517
_cell_length_c 5.2289
_cell_angle_alpha 90.00
_cell_angle_beta 90.10
_cell_angle_gamma 90.00
_symmetry_space_group_name_H-M 'P 1 2/m 1'
_symmetry_Int_Tables_number 10
loop_
_symmetry_equiv_pos_as_xyz
'x,y,z'
'-x,-y,-z'
'-x,y,-z'
'x,-y,z'
loop_
_atom_site_label
_atom_site_fract_x
_atom_site_fract_y
_atom_site_fract_z
Al1 0.0000 0.0000 0.0000
Co1 0.4986 0.5000 0.2549
Re1 0.0000 0.0000 0.5000

=====

15.
# AlCoRe2 PBE optimized geometry
# Size of the total moment ... 1.63 Bohr magnetons per cell
# ΔE_f ... -0.45 kcal/mol of atoms
# Crystal system ... monoclinic
# Volume ... 13.84 Å³/atom
data_AlCoRe2
_chemical_formula_sum 'Al2 Co2 Re4'
_cell_length_a 8.8348
_cell_length_b 2.7476
_cell_length_c 4.6317
_cell_angle_alpha 90.00
_cell_angle_beta 100.00
_cell_angle_gamma 90.00
_symmetry_space_group_name_H-M 'C 1 m 1'
_symmetry_Int_Tables_number 8
loop_
_symmetry_equiv_pos_as_xyz
'x,y,z'
'x,-y,z'
'x+1/2,y+1/2,z'
'x+1/2,-y+1/2,z'
loop_
_atom_site_label
_atom_site_fract_x
_atom_site_fract_y
_atom_site_fract_z
Al1 0.0000 0.0000 0.0000
Co1 0.2542 0.0000 0.8135
Re1 0.0164 0.5000 0.5134
Re2 0.2601 0.5000 0.3006